Entry 1:
Density functional theory data (PBE) for an optimized crystal structure of Ca2Pm2Mg15.

## Properties
The calculation puts the total moment at 0.00 μB per formula unit. The value obtained for the density of states at the Fermi level is 0.811 states/eV per atom. The value obtained for the energy relative to the elements is -0.003 eV/atom. Its total energy is -1.97 eV/atom. The space group is No. 166.

Geometry as CIF:
```
data_Ca2Pm2Mg15
_space_group_name_H-M_alt 'P 1'
_space_group_IT_number 1
_cell_length_a 8.0434
_cell_length_b 8.0434
_cell_length_c 8.0434
_cell_angle_alpha 82.62
_cell_angle_beta 82.62
_cell_angle_gamma 82.62
loop_
_space_group_symop_operation_xyz
'x,y,z'
loop_
_atom_site_label
_atom_site_fract_x
_atom_site_fract_y
_atom_site_fract_z
Ca1 0.1606 0.1606 0.1606
Ca2 0.8394 0.8394 0.8394
Pm1 0.4060 0.4060 0.4060
Pm2 0.5940 0.5940 0.5940
Mg1 0.0000 0.5000 0.5000
Mg2 0.1478 0.1478 0.6567
Mg3 0.1478 0.6567 0.1478
Mg4 0.1996 0.5000 0.8004
Mg5 0.1996 0.8004 0.5000
Mg6 0.3433 0.8522 0.8522
Mg7 0.5000 0.0000 0.5000
Mg8 0.5000 0.1996 0.8004
Mg9 0.5000 0.5000 0.0000
Mg10 0.5000 0.8004 0.1996
Mg11 0.6567 0.1478 0.1478
Mg12 0.8004 0.1996 0.5000
Mg13 0.8004 0.5000 0.1996
Mg14 0.8522 0.3433 0.8522
Mg15 0.8522 0.8522 0.3433
```


Entry 2:
Density functional theory data (PBE) for an optimized crystal structure of YIn2Ag.

## Properties
The calculation puts the total moment at 0.31 μB per formula unit. The value obtained for the density of states at the Fermi level is 0.531 states/eV per atom. The value obtained for the energy relative to the elements is -0.245 eV/atom. Its total energy is -3.94 eV/atom. The space group is No. 47.

Geometry as CIF:
```
data_YIn2Ag
_space_group_name_H-M_alt 'P 1'
_space_group_IT_number 1
_cell_length_a 3.4474
_cell_length_b 3.4585
_cell_length_c 7.8442
_cell_angle_alpha 90.00
_cell_angle_beta 90.00
_cell_angle_gamma 90.00
loop_
_space_group_symop_operation_xyz
'x,y,z'
loop_
_atom_site_label
_atom_site_fract_x
_atom_site_fract_y
_atom_site_fract_z
Y1 0.0000 0.0000 0.0000
In1 0.5000 0.5000 0.2786
In2 0.5000 0.5000 0.7214
Ag1 0.0000 0.0000 0.5000
```


Entry 3:
Density functional theory data (PBE) for an optimized crystal structure of Al5Si.

## Properties
Its energy above the most stable polymorph in this dataset is 34 meV/atom. The raw formation energy is 0.54 eV per formula unit. The calculation puts the total moment at 0.00 μB per formula unit. The value obtained for the density of states at the Fermi level is 0.468 states/eV per atom. Its total energy is -3.93 eV/atom. The space group is No. 189.

Geometry as CIF:
```
data_Al5Si
_space_group_name_H-M_alt 'P 1'
_space_group_IT_number 1
_cell_length_a 4.8812
_cell_length_b 4.8812
_cell_length_c 4.6965
_cell_angle_alpha 90.00
_cell_angle_beta 90.00
_cell_angle_gamma 120.00
loop_
_space_group_symop_operation_xyz
'x,y,z'
loop_
_atom_site_label
_atom_site_fract_x
_atom_site_fract_y
_atom_site_fract_z
Al1 0.0000 0.6705 0.0000
Al2 0.3295 0.3295 0.0000
Al3 0.3333 0.6667 0.5000
Al4 0.6667 0.3333 0.5000
Al5 0.6705 0.0000 0.0000
Si1 0.0000 0.0000 0.5000
```


Entry 4:
Density functional theory data (PBE) for an optimized crystal structure of AlTe2NF.

## Properties
Its energy above the most stable polymorph in this dataset is 0 meV/atom. The raw formation energy is 0.74 eV per formula unit. The calculation puts the total moment at 0.00 μB per formula unit. The value obtained for the density of states at the Fermi level is 0.957 states/eV per atom. Its total energy is -3.90 eV/atom. The space group is No. 123.

Geometry as CIF:
```
data_AlTe2NF
_space_group_name_H-M_alt 'P 1'
_space_group_IT_number 1
_cell_length_a 5.5229
_cell_length_b 5.5229
_cell_length_c 3.4334
_cell_angle_alpha 90.00
_cell_angle_beta 90.00
_cell_angle_gamma 90.00
loop_
_space_group_symop_operation_xyz
'x,y,z'
loop_
_atom_site_label
_atom_site_fract_x
_atom_site_fract_y
_atom_site_fract_z
Al1 0.0000 0.0000 0.0000
Te1 0.0000 0.5000 0.0000
Te2 0.5000 0.0000 0.0000
N1 0.0000 0.0000 0.5000
F1 0.5000 0.5000 0.5000
```


Entry 5:
Density functional theory data (PBE) for an optimized crystal structure of TbCe2RhN4.

## Properties
The raw formation energy is -8.32 eV per formula unit. The calculation puts the total moment at 0.00 μB per formula unit. The value obtained for the density of states at the Fermi level is 0.667 states/eV per atom. Its total energy is -8.18 eV/atom. The space group is No. 63.

Geometry as CIF:
```
data_TbCe2RhN4
_space_group_name_H-M_alt 'P 1'
_space_group_IT_number 1
_cell_length_a 6.1396
_cell_length_b 6.1396
_cell_length_c 11.7974
_cell_angle_alpha 90.00
_cell_angle_beta 90.00
_cell_angle_gamma 147.98
loop_
_space_group_symop_operation_xyz
'x,y,z'
loop_
_atom_site_label
_atom_site_fract_x
_atom_site_fract_y
_atom_site_fract_z
Tb1 0.1144 0.8856 0.7500
Tb2 0.8856 0.1144 0.2500
Ce1 0.3702 0.6298 0.5533
Ce2 0.3702 0.6298 0.9467
Ce3 0.6298 0.3702 0.0533
Ce4 0.6298 0.3702 0.4467
Rh1 0.1476 0.8524 0.2500
Rh2 0.8524 0.1476 0.7500
N1 0.0000 0.0000 0.0000
N2 0.0000 0.0000 0.5000
N3 0.2757 0.7243 0.1226
N4 0.2757 0.7243 0.3774
N5 0.4627 0.5373 0.7500
N6 0.5373 0.4627 0.2500
N7 0.7243 0.2757 0.6226
N8 0.7243 0.2757 0.8774
```


Entry 6:
Density functional theory data (PBE) for an optimized crystal structure of LiNiTe2.

## Properties
The raw formation energy is -1.03 eV per formula unit. The calculation puts the total moment at 0.00 μB per formula unit. The value obtained for the density of states at the Fermi level is 0.626 states/eV per atom. Its total energy is -3.75 eV/atom. The space group is No. 8.

Geometry as CIF:
```
data_LiNiTe2
_space_group_name_H-M_alt 'P 1'
_space_group_IT_number 1
_cell_length_a 12.5941
_cell_length_b 3.7024
_cell_length_c 3.6857
_cell_angle_alpha 90.00
_cell_angle_beta 90.84
_cell_angle_gamma 90.00
loop_
_space_group_symop_operation_xyz
'x,y,z'
loop_
_atom_site_label
_atom_site_fract_x
_atom_site_fract_y
_atom_site_fract_z
Li1 0.0000 0.0000 0.0000
Li2 0.5000 0.5000 0.0000
Ni1 0.2069 0.0000 0.4882
Ni2 0.7069 0.5000 0.4882
Te1 0.1856 0.5000 0.9883
Te2 0.4045 0.0000 0.4960
Te3 0.6856 0.0000 0.9883
Te4 0.9045 0.5000 0.4960
```


Entry 7:
Density functional theory data (PBE) for an optimized crystal structure of TeOs2Cl.

## Properties
Its energy above the most stable polymorph in this dataset is 574 meV/atom. The raw formation energy is 3.18 eV per formula unit. The calculation puts the total moment at 0.00 μB per formula unit. The value obtained for the density of states at the Fermi level is 1.042 states/eV per atom. Its total energy is -6.07 eV/atom. The space group is No. 35.

Geometry as CIF:
```
data_TeOs2Cl
_space_group_name_H-M_alt 'P 1'
_space_group_IT_number 1
_cell_length_a 2.8969
_cell_length_b 5.3718
_cell_length_c 10.0211
_cell_angle_alpha 90.00
_cell_angle_beta 90.00
_cell_angle_gamma 90.00
loop_
_space_group_symop_operation_xyz
'x,y,z'
loop_
_atom_site_label
_atom_site_fract_x
_atom_site_fract_y
_atom_site_fract_z
Te1 0.0000 0.0000 0.0000
Te2 0.5000 0.5000 0.0000
Os1 0.0000 0.0000 0.4560
Os2 0.0000 0.5000 0.2453
Os3 0.5000 0.0000 0.2453
Os4 0.5000 0.5000 0.4560
Cl1 0.0000 0.5000 0.6553
Cl2 0.5000 0.0000 0.6553
```


Entry 8:
Density functional theory data (PBE) for an optimized crystal structure of GaSeS4.

## Properties
The raw formation energy is -0.65 eV per formula unit. The calculation puts the total moment at 0.00 μB per formula unit. Its total energy is -3.94 eV/atom. The space group is No. 2.

Geometry as CIF:
```
data_GaSeS4
_space_group_name_H-M_alt 'P 1'
_space_group_IT_number 1
_cell_length_a 3.9186
_cell_length_b 8.6613
_cell_length_c 11.6321
_cell_angle_alpha 101.10
_cell_angle_beta 99.56
_cell_angle_gamma 97.01
loop_
_space_group_symop_operation_xyz
'x,y,z'
loop_
_atom_site_label
_atom_site_fract_x
_atom_site_fract_y
_atom_site_fract_z
Ga1 0.2043 0.0386 0.2342
Ga2 0.7957 0.9614 0.7658
Se1 0.4718 0.6726 0.3202
Se2 0.5282 0.3274 0.6798
S1 0.0255 0.8984 0.9398
S2 0.2916 0.7461 0.4878
S3 0.3417 0.2762 0.3685
S4 0.3649 0.1240 0.7722
S5 0.6351 0.8760 0.2278
S6 0.6583 0.7238 0.6315
S7 0.7084 0.2539 0.5122
S8 0.9745 0.1016 0.0602
```


Entry 9:
Density functional theory data (PBE) for an optimized crystal structure of AlTl.

## Properties
The calculation puts the total moment at 0.00 μB per formula unit. The value obtained for the density of states at the Fermi level is 0.299 states/eV per atom. The value obtained for the energy relative to the elements is 0.193 eV/atom. Its total energy is -2.86 eV/atom. The space group is No. 8.

Geometry as CIF:
```
data_AlTl
_space_group_name_H-M_alt 'P 1'
_space_group_IT_number 1
_cell_length_a 12.4090
_cell_length_b 3.1894
_cell_length_c 7.7347
_cell_angle_alpha 90.00
_cell_angle_beta 105.01
_cell_angle_gamma 90.00
loop_
_space_group_symop_operation_xyz
'x,y,z'
loop_
_atom_site_label
_atom_site_fract_x
_atom_site_fract_y
_atom_site_fract_z
Al1 0.0000 0.0000 0.0000
Al2 0.1544 0.5000 0.8907
Al3 0.3432 0.0000 0.1025
Al4 0.5000 0.5000 0.0000
Al5 0.6544 0.0000 0.8907
Al6 0.8432 0.5000 0.1025
Tl1 0.0002 0.0000 0.4968
Tl2 0.1917 0.5000 0.3002
Tl3 0.3094 0.0000 0.6956
Tl4 0.5002 0.5000 0.4968
Tl5 0.6917 0.0000 0.3002
Tl6 0.8094 0.5000 0.6956
```


Entry 10:
Density functional theory data (PBE) for an optimized crystal structure of LiHoNbTc.

## Properties
The calculation puts the total moment at 0.00 μB per formula unit. The value obtained for the density of states at the Fermi level is 1.222 states/eV per atom. The value obtained for the energy relative to the elements is 0.051 eV/atom. Its total energy is -6.68 eV/atom. The space group is No. 216.

Geometry as CIF:
```
data_LiHoNbTc
_space_group_name_H-M_alt 'P 1'
_space_group_IT_number 1
_cell_length_a 6.6159
_cell_length_b 6.6159
_cell_length_c 6.6159
_cell_angle_alpha 90.00
_cell_angle_beta 90.00
_cell_angle_gamma 90.00
loop_
_space_group_symop_operation_xyz
'x,y,z'
loop_
_atom_site_label
_atom_site_fract_x
_atom_site_fract_y
_atom_site_fract_z
Li1 0.0000 0.0000 0.0000
Li2 0.0000 0.5000 0.5000
Li3 0.5000 0.0000 0.5000
Li4 0.5000 0.5000 0.0000
Ho1 0.2500 0.2500 0.2500
Ho2 0.2500 0.7500 0.7500
Ho3 0.7500 0.2500 0.7500
Ho4 0.7500 0.7500 0.2500
Nb1 0.2500 0.2500 0.7500
Nb2 0.2500 0.7500 0.2500
Nb3 0.7500 0.2500 0.2500
Nb4 0.7500 0.7500 0.7500
Tc1 0.0000 0.0000 0.5000
Tc2 0.0000 0.5000 0.0000
Tc3 0.5000 0.0000 0.0000
Tc4 0.5000 0.5000 0.5000
```